No. 1
VASP calculation (PBE-GGA) on an optimized crystal structure of Tl2Cu3HgBr8.

Unit cell a=9.5459 b=9.5459 c=9.5459 alpha=49.83 beta=49.83 gamma=49.83
Fractional coordinates of all 14 atoms:
Tl (0.0000, 0.0000, 0.0000)
Tl (0.3589, 0.3589, 0.3589)
Cu (0.0140, 0.0140, 0.4514)
Cu (0.0140, 0.4514, 0.0140)
Cu (0.4514, 0.0140, 0.0140)
Hg (0.5705, 0.5705, 0.5705)
Br (0.1598, 0.7214, 0.7214)
Br (0.2237, 0.2237, 0.2237)
Br (0.2471, 0.2471, 0.7975)
Br (0.2471, 0.7975, 0.2471)
Br (0.6739, 0.6739, 0.6739)
Br (0.7214, 0.1598, 0.7214)
Br (0.7214, 0.7214, 0.1598)
Br (0.7975, 0.2471, 0.2471)

Density of states at the Fermi level: 0.531 states/eV/atom
Theoretical density: 5.1 g/cm³

=====

No. 2
VASP calculation (PBE-GGA) on an optimized crystal structure of Tl3Cu2HgBr8.

Unit cell a=7.6638 b=7.6638 c=9.3518 alpha=90.00 beta=90.00 gamma=120.00
Fractional coordinates of all 14 atoms:
Tl (0.0000, 0.0000, 0.0000)
Tl (0.3333, 0.6667, 0.6116)
Tl (0.6667, 0.3333, 0.3884)
Cu (0.3333, 0.6667, 0.1934)
Cu (0.6667, 0.3333, 0.8066)
Hg (0.0000, 0.0000, 0.5000)
Br (0.1674, 0.3348, 0.3087)
Br (0.1674, 0.8326, 0.3087)
Br (0.3333, 0.6667, 0.9458)
Br (0.3348, 0.1674, 0.6913)
Br (0.6652, 0.8326, 0.3087)
Br (0.6667, 0.3333, 0.0542)
Br (0.8326, 0.1674, 0.6913)
Br (0.8326, 0.6652, 0.6913)

Density of states at the Fermi level: 0.902 states/eV/atom
Theoretical density: 5.5 g/cm³

=====

No. 3
VASP calculation (PBE-GGA) on an optimized crystal structure of Tl2CuHgBr6.

Unit cell a=7.1292 b=7.1456 c=8.6336 alpha=67.80 beta=67.70 gamma=63.19
Fractional coordinates of all 10 atoms:
Tl (0.0000, 0.0000, 0.0000)
Tl (0.4114, 0.4110, 0.6407)
Cu (0.7059, 0.7061, 0.8195)
Hg (0.2056, 0.2053, 0.3211)
Br (0.4207, 0.8811, 0.6646)
Br (0.4328, 0.4302, 0.2092)
Br (0.5277, 0.9914, 0.9745)
Br (0.8836, 0.4197, 0.6657)
Br (0.9784, 0.9805, 0.4318)
Br (0.9904, 0.5303, 0.9753)

Density of states at the Fermi level: 0.103 states/eV/atom
Theoretical density: 5.4 g/cm³

=====

No. 4
VASP calculation (PBE-GGA) on an optimized crystal structure of TlCu2HgBr6.

Unit cell a=7.2255 b=7.2396 c=8.5154 alpha=90.01 beta=115.06 gamma=119.90
Fractional coordinates of all 10 atoms:
Tl (0.0000, 0.0000, 0.0000)
Cu (0.4785, 0.2385, 0.7174)
Cu (0.5196, 0.7606, 0.2811)
Hg (0.9998, 0.5001, 0.4998)
Br (0.1748, 0.4480, 0.2683)
Br (0.1786, 0.2723, 0.7303)
Br (0.4582, 0.9061, 0.7306)
Br (0.5416, 0.0938, 0.2679)
Br (0.8196, 0.7266, 0.2682)
Br (0.8235, 0.5516, 0.7303)

Density of states at the Fermi level: 1.083 states/eV/atom
Theoretical density: 5.0 g/cm³

=====

No. 5
VASP calculation (PBE-GGA) on an optimized crystal structure of Ho4CuBr5.

Unit cell a=9.2979 b=9.2979 c=8.4522 alpha=102.22 beta=102.22 gamma=24.35
Fractional coordinates of all 10 atoms:
Ho (0.0010, 0.0010, 0.2211)
Ho (0.3508, 0.3508, 0.9224)
Ho (0.6492, 0.6492, 0.0776)
Ho (0.9990, 0.9990, 0.7789)
Cu (0.5000, 0.5000, 0.0000)
Br (0.1678, 0.1678, 0.3357)
Br (0.1768, 0.1768, 0.8356)
Br (0.5000, 0.5000, 0.5000)
Br (0.8232, 0.8232, 0.1644)
Br (0.8322, 0.8322, 0.6643)

Density of states at the Fermi level: 0.418 states/eV/atom
Theoretical density: 6.3 g/cm³

=====

No. 6
VASP calculation (PBE-GGA) on an optimized crystal structure of Ho2CuBr8.

Unit cell a=8.4884 b=8.4884 c=7.4056 alpha=90.70 beta=90.70 gamma=68.55
Fractional coordinates of all 11 atoms:
Ho (0.1947, 0.1947, 0.1746)
Ho (0.8053, 0.8053, 0.8254)
Cu (0.0000, 0.0000, 0.5000)
Br (0.1071, 0.7246, 0.6561)
Br (0.1771, 0.1771, 0.8214)
Br (0.2754, 0.8929, 0.3439)
Br (0.3714, 0.3714, 0.2711)
Br (0.6286, 0.6286, 0.7289)
Br (0.7246, 0.1071, 0.6561)
Br (0.8229, 0.8229, 0.1786)
Br (0.8929, 0.2754, 0.3439)

Theoretical density: 3.5 g/cm³

=====

No. 7
VASP calculation (PBE-GGA) on an optimized crystal structure of Ho2CuBr2.

Unit cell a=11.4332 b=11.4332 c=11.4332 alpha=19.61 beta=19.61 gamma=19.61
Fractional coordinates of all 5 atoms:
Ho (0.1159, 0.1159, 0.1159)
Ho (0.8841, 0.8841, 0.8841)
Cu (0.5000, 0.5000, 0.5000)
Br (0.2736, 0.2736, 0.2736)
Br (0.7264, 0.7264, 0.7264)

Density of states at the Fermi level: 0.716 states/eV/atom
Theoretical density: 6.2 g/cm³

=====

No. 8
VASP calculation (PBE-GGA) on an optimized crystal structure of Rb2HoCuBr6.

Unit cell a=7.8306 b=7.8125 c=7.6679 alpha=60.77 beta=60.53 gamma=58.70
Fractional coordinates of all 10 atoms:
Rb (0.2500, 0.2500, 0.2500)
Rb (0.7500, 0.7500, 0.7500)
Ho (0.0000, 0.0000, 0.0000)
Cu (0.5000, 0.5000, 0.5000)
Br (0.2468, 0.2468, 0.7532)
Br (0.2564, 0.7436, 0.2564)
Br (0.2577, 0.7423, 0.7423)
Br (0.7423, 0.2577, 0.2577)
Br (0.7436, 0.2564, 0.7436)
Br (0.7532, 0.7532, 0.2468)

Density of states at the Fermi level: 0.000 states/eV/atom
Theoretical density: 4.4 g/cm³

=====

Number 1: formation energy without anion corrections -0.42 eV per atom. Number 2: formation energy without anion corrections -0.51 eV per atom. Number 3: formation energy without anion corrections -0.55 eV per atom. Number 4: formation energy without anion corrections -0.41 eV per atom. Number 5: formation energy without anion corrections -1.26 eV per atom. Number 6: formation energy without anion corrections -1.25 eV per atom. Number 7: formation energy without anion corrections -1.04 eV per atom. Number 8: formation energy without anion corrections -1.47 eV per atom.